# TiCrAsO6

A relaxed TiCrAsO6 crystal (PBE with a Hubbard U, Alexandria via LeMat-Bulk).

a b c (Å): 4.944 4.944 8.732
angles (deg): 90.00 90.00 120.00
Each line ends with the local moment (μB).
Sites, in units of the cell vectors:
O 0.644 0.660 0.132  -0.02
Ti 0.667 0.333 0.250  0.03
O 0.016 0.660 0.368  -0.02
Cr 0.000 0.000 0.000  2.97
O 0.356 0.016 0.632  -0.02
Ti 0.333 0.667 0.750  0.03
O 0.356 0.340 0.868  -0.02
As 0.667 0.333 0.750  0.01
As 0.333 0.667 0.250  0.01
O 0.660 0.644 0.632  -0.02
O 0.340 0.984 0.132  -0.02
O 0.644 0.984 0.368  -0.02
O 0.984 0.644 0.868  -0.02
Cr 0.000 0.000 0.500  2.97
O 0.340 0.356 0.368  -0.02
O 0.660 0.016 0.868  -0.02
O 0.984 0.340 0.632  -0.02
O 0.016 0.356 0.132  -0.02

Computed properties:
total energy = -7.472 eV/atom
total magnetic moment = 5.998 Bohr magnetons per cell
DOS at the Fermi energy = 0.000 states/eV/f.u.